First-principles (PBE) data for an optimized crystal structure of AlPPt2, as listed in Alexandria via LeMat-Bulk.

Calculated values
* raw total energy: -5.74 eV per atom
* magnetization: 0.00 μB per formula unit
* DFT formation energy: -0.436 eV/atom
* ΔE to the lowest computed polymorph: 0.615 eV/f.u.

Structure (POSCAR):
```
AlPPt2
1.0
-0.2090 1.9437 4.9298
-3.1565 -2.1275 3.6925
3.7791 -1.2037 -3.5205
Pt P Al
2 1 1
Direct
0.9673 0.9673 0.0000
0.2192 0.7192 0.5000
0.7796 0.2796 0.5000
0.5338 0.5338 0.0000
```

=====

First-principles (PBE) data for an optimized crystal structure of PRhAu3, as listed in Alexandria via LeMat-Bulk.

Calculated values
* raw total energy: -3.14 eV per atom
* magnetization: 1.62 μB per formula unit
* DFT formation energy: 1.375 eV/atom
* ΔE to the lowest computed polymorph: 4.028 eV/f.u.

Structure (POSCAR):
```
PRhAu3
1.0
-1.4639 -3.8580 -2.7853
0.0662 -2.9304 4.0242
-4.7579 1.1463 0.9130
Au P Rh
3 1 1
Direct
0.0000 0.5000 0.0000
0.0000 0.0000 0.5000
0.5000 0.0000 0.0000
0.5000 0.5000 0.5000
0.0000 0.0000 0.0000
```

=====

First-principles (PBE) data for an optimized crystal structure of ScSiPt3, as listed in Alexandria via LeMat-Bulk.

Calculated values
* raw total energy: -6.40 eV per atom
* magnetization: 0.00 μB per formula unit
* ΔE to the lowest computed polymorph: 2.700 eV/f.u.

Structure (POSCAR):
```
ScSiPt3
1.0
-3.1203 1.5686 2.9101
-2.9942 -3.0374 -1.5732
1.4016 -2.9965 3.1180
Si Pt Sc
1 3 1
Direct
0.0000 0.0000 0.0000
0.5000 0.0000 0.0000
0.0000 0.5000 0.0000
0.0000 0.0000 0.5000
0.5000 0.5000 0.5000
```

=====

First-principles (PBE) data for an optimized crystal structure of Bi, as listed in Alexandria via LeMat-Bulk.

Calculated values
* raw total energy: -3.80 eV per atom
* magnetization: 0.00 μB per formula unit
* DFT formation energy: 0.081 eV/atom
* ΔE to the lowest computed polymorph: 0.081 eV/f.u.

Structure (POSCAR):
```
Bi
1.0
5.4294 0.0000 0.0000
-2.7147 4.7020 0.0000
0.0000 0.0000 7.2024
Bi
4
Direct
0.6667 0.3333 0.5370
0.6667 0.3333 0.9630
0.3333 0.6667 0.4630
0.3333 0.6667 0.0370
```

=====

First-principles (PBE) data for an optimized crystal structure of LiLa2As, as listed in Alexandria via LeMat-Bulk.

Calculated values
* raw total energy: -4.24 eV per atom
* magnetization: 0.00 μB per formula unit
* DFT formation energy: -0.138 eV/atom

Structure (POSCAR):
```
LiLa2As
1.0
-3.3356 -3.4217 1.9896
-0.9992 -4.4079 -2.5228
1.7248 -4.5047 1.8776
Li As La
1 1 2
Direct
0.7500 0.7500 0.7500
0.5000 0.5000 0.5000
0.2500 0.2500 0.2500
0.0000 0.0000 0.0000
```

=====

First-principles (PBE) data for an optimized crystal structure of HfScV, as listed in Alexandria via LeMat-Bulk.

Calculated values
* raw total energy: -8.17 eV per atom
* magnetization: 0.01 μB per formula unit
* DFT formation energy: 0.300 eV/atom
* ΔE to the lowest computed polymorph: 0.312 eV/f.u.

Structure (POSCAR):
```
HfScV
1.0
3.0588 0.0000 0.0000
1.5294 2.6490 0.0000
1.5294 0.8830 7.3797
V Sc Hf
1 1 1
Direct
0.1061 0.1061 0.6817
0.3366 0.3366 0.9902
0.5427 0.5427 0.3720
```

=====

First-principles (PBE) data for an optimized crystal structure of MgAlCrS4, as listed in Alexandria via LeMat-Bulk.

Calculated values
* raw total energy: -5.51 eV per atom
* magnetization: 3.00 μB per formula unit
* ΔE to the lowest computed polymorph: 0.286 eV/f.u.

Structure (POSCAR):
```
MgAlCrS4
1.0
-5.2169 3.3470 -3.7060
-6.4846 0.9754 2.9730
-2.1944 6.5649 1.9817
Mg Cr S Al
2 2 8 2
Direct
0.0000 0.5000 0.5000
0.0000 0.0000 0.0000
0.0000 0.0000 0.5000
0.5000 0.0000 0.5000
0.2512 0.2334 0.2642
0.2308 0.7638 0.2638
0.2512 0.7642 0.7334
0.7488 0.7666 0.7358
0.7692 0.2362 0.7362
0.2584 0.2362 0.7362
0.7416 0.7638 0.2638
0.7488 0.2358 0.2666
0.3870 0.3630 0.8630
0.6130 0.6370 0.1370
```

=====

First-principles (PBE) data for an optimized crystal structure of La5PrY3, as listed in Alexandria via LeMat-Bulk.

Calculated values
* raw total energy: -5.19 eV per atom
* magnetization: 0.00 μB per formula unit
* DFT formation energy: 0.238 eV/atom
* ΔE to the lowest computed polymorph: 0.000 eV/f.u.

Structure (POSCAR):
```
La5PrY3
1.0
-10.5428 -5.6204 1.2152
-7.1944 -6.7699 6.8283
-9.2490 3.0397 6.1399
La Y Pr
10 6 2
Direct
0.4678 0.8752 0.8699
0.5322 0.1248 0.1301
0.3440 0.9923 0.5258
0.6560 0.0077 0.4742
0.1248 0.5322 0.6301
0.5941 0.4059 0.2500
0.9923 0.3440 0.0258
0.8752 0.4678 0.3699
0.0077 0.6560 0.9742
0.4059 0.5941 0.7500
0.4545 0.8636 0.1965
0.1364 0.5455 0.3035
0.5455 0.1364 0.8035
0.0000 0.0000 0.0000
0.8636 0.4545 0.6965
0.0000 0.0000 0.5000
0.1374 0.8626 0.2500
0.8626 0.1374 0.7500
```

=====

Q: Which value of raw total energy does entry 7 give?
A: -5.51 eV per atom

=====

Q: Which formula does entry 6 have?
A: HfScV